Entry 1:
Si2SbAs, optimized geometry, DFT PBE; energy relative to the lowest polymorph listed for this composition = 259 meV per atom; magnetization = 0.00 Bohr magnetons per cell
1.0
3.2896 0.0000 0.0000
0.0000 3.2896 0.0000
0.0000 0.0000 7.0050
Si Sb As
2 1 1
Direct
0.0000 0.0000 0.0000
0.5000 0.5000 0.1721
0.5000 0.5000 0.7056
0.0000 0.0000 0.3885

Entry 2:
Si2SbAs, optimized geometry, DFT PBE; energy relative to the lowest polymorph listed for this composition = 408 meV per atom; magnetization = 0.00 Bohr magnetons per cell
1.0
0.0000 3.3735 3.3735
3.3735 0.0000 3.3735
3.3735 3.3735 0.0000
Si Sb As
2 1 1
Direct
0.0000 0.0000 0.0000
0.2500 0.2500 0.2500
0.7500 0.7500 0.7500
0.5000 0.5000 0.5000

Entry 3:
Si2SbAs, optimized geometry, DFT PBE; energy relative to the lowest polymorph listed for this composition = 162 meV per atom; magnetization = 0.00 Bohr magnetons per cell
1.0
-3.2483 3.2483 4.5619
3.2483 -3.2483 4.5619
3.2483 3.2483 -4.5619
Si Sb As
4 2 2
Direct
0.0990 0.1250 0.4740
0.3750 0.9010 0.0260
0.6510 0.6250 0.5260
0.8750 0.3490 0.9740
0.2500 0.7500 0.5000
0.5000 0.5000 0.0000
0.0000 0.0000 0.0000
0.7500 0.2500 0.5000

Entry 4:
SiSb3As, optimized geometry, DFT PBE; energy relative to the lowest polymorph listed for this composition = 197 meV per atom; magnetization = 0.00 Bohr magnetons per cell
1.0
5.3383 0.0000 0.0000
0.0000 5.3383 0.0000
0.0000 0.0000 5.3383
Si Sb As
1 3 1
Direct
0.0000 0.0000 0.0000
0.0000 0.5000 0.5000
0.5000 0.0000 0.5000
0.5000 0.5000 0.0000
0.5000 0.5000 0.5000